1.
A plane-wave DFT calculation with PBE was carried out for Fe2PCl after structural relaxation.

Total DFT energy (no corrections)   -6.06 eV/atom
Magnetization   5.4 μB/f.u.

abc: 8.1491 8.1491 8.1491
angles: 22.43 22.43 22.43
Each line ends with the local moment (μB).
Sites, in units of the cell vectors:
Cl (0.7244, 0.7244, 0.7244)  0.16
Fe (0.9931, 0.9931, 0.9931)  3.17
Fe (0.2509, 0.2509, 0.2509)  1.99
P (0.5316, 0.5316, 0.5316)  -0.02



2.
A plane-wave DFT calculation with PBE was carried out for ZnCu2Si after structural relaxation.

Total DFT energy (no corrections)   -3.67 eV/atom
Magnetization   0.0 μB/f.u.

abc: 4.3744 4.3744 4.7965
angles: 79.88 79.88 35.36
Sites, in units of the cell vectors:
Cu (0.0055, 0.0055, 0.9911)
Cu (0.4945, 0.4945, 0.5089)
Si (0.7500, 0.7500, 0.7500)
Zn (0.2500, 0.2500, 0.2500)



Number 2 is which compound? ZnCu2Si